An optimized crystal structure of Cs8Na2Cd, computed with PBE.

Values from the calculation:
The density of states at the Fermi level is 7.89 states/eV/cell. As for the uncorrected energy: -0.935 eV per atom. Its space-group type is C2/m, No. 12. The formation energy comes out at 0.09 eV/f.u.

Lattice parameters (Å, degrees): 13.4652 13.4652 10.0084 107.06 107.06 32.19
Closest atoms and distances in Å follow each position.
Positions (direct):
Cs: 0.0200 0.0200 0.2888  2 Cd 4.40, 1 Na 4.49, 3 Cs 4.65-4.83
Cs: 0.2058 0.2058 0.7903  3 Na 4.43-4.73, 2 Cs 4.93
Cs: 0.3484 0.3484 0.5449  1 Cd 4.08
Cs: 0.4067 0.4067 0.0734  1 Cd 4.21
Cs: 0.5933 0.5933 0.9266  1 Cd 4.21
Cs: 0.6516 0.6516 0.4551  1 Cd 4.08
Cs: 0.7942 0.7942 0.2097  3 Na 4.43-4.73, 2 Cs 4.93
Cs: 0.9800 0.9800 0.7112  2 Cd 4.40, 1 Na 4.49, 3 Cs 4.65-4.83
Na: 0.1818 0.1818 0.2099  9 Cs 4.43-4.82
Na: 0.8182 0.8182 0.7901  9 Cs 4.43-4.82
Cd: 0.5000 0.5000 0.5000  8 Cs 4.08-4.40